## SmUPb2O6 (PBE-GGA)

Data for a relaxed structure of SmUPb2O6.

Calculated values
Crystal system   monoclinic
Total DFT energy (no corrections)   -155.4 eV/cell

Unit cell a=6.0561 b=6.2147 c=8.6856 alpha=90.00 beta=89.83 gamma=90.00
Last column: magnetic moment on the atom in μB.
Positions (direct):
O 0.2051 0.1857 0.4513  -0.02
O 0.7949 0.8143 0.5487  -0.02
O 0.3182 0.7079 0.4472  -0.02
O 0.2949 0.6857 0.0487  -0.02
O 0.1818 0.2079 0.0528  -0.02
O 0.6020 0.0286 0.2606  -0.02
O 0.1020 0.4714 0.7606  -0.02
O 0.7051 0.3143 0.9513  -0.02
O 0.3980 0.9714 0.7394  -0.02
O 0.6818 0.2921 0.5528  -0.02
O 0.8980 0.5286 0.2394  -0.02
O 0.8182 0.7921 0.9472  -0.02
Sm 0.5000 0.0000 0.0000  -0.01
Sm 0.0000 0.5000 0.5000  -0.01
U 0.5000 0.0000 0.5000  1.04
U 0.0000 0.5000 0.0000  1.04
Pb 0.4933 0.4705 0.2487  0.01
Pb 0.9933 0.0295 0.7487  0.01
Pb 0.5067 0.5295 0.7513  0.01
Pb 0.0067 0.9705 0.2513  0.01



## Pm8GeP3Br4 (PBE-GGA)

Data for a relaxed structure of Pm8GeP3Br4.

Calculated values
Crystal system   trigonal
Total DFT energy (no corrections)   -88.2 eV/cell

Unit cell a=8.3480 b=8.7038 c=8.3481 alpha=118.66 beta=120.00 gamma=90.00
Positions (direct):
P 0.0000 0.5000 0.5000
P 0.5000 0.5000 0.0000
P 0.5000 0.5000 0.5000
Pm 0.2731 0.2962 0.0346
Pm 0.2385 0.7038 0.9654
Pm 0.2667 0.3000 0.5333
Pm 0.7615 0.2962 0.0346
Pm 0.7333 0.7000 0.4667
Pm 0.7615 0.2962 0.5231
Pm 0.7269 0.7038 0.9654
Pm 0.2385 0.7038 0.4769
Br 0.5000 0.0000 0.5000
Br 0.0000 0.0000 0.0000
Br 0.5000 0.0000 0.0000
Br 0.0000 0.0000 0.5000
Ge 0.0000 0.5000 0.0000